[1]
Tm2TiCo GGA-PBE optimized geometry; density = 8.99 g cm⁻³; raw total energy = -5.957 eV per atom; N(E_F) = 5.13 states/eV/f.u.
1.0
3.317 0.000 0.000
0.000 3.317 0.000
0.000 0.000 7.468
Tm Co Ti
2 1 1
Direct
0.000 0.000 0.785
0.000 0.000 0.215
0.500 0.500 0.000
0.500 0.500 0.500

=====

[2]
Tm2TiCo2 GGA-PBE optimized geometry; density = 9.10 g cm⁻³; raw total energy = -6.501 eV per atom; energy above the lowest structure with this stoichiometry = 0.009 eV per atom; N(E_F) = 4.92 states/eV/f.u.
1.0
3.492 0.000 1.488
0.910 4.743 2.706
-0.291 0.205 5.525
Tm Ti Co
2 1 2
Direct
0.702 0.798 0.298
0.298 0.202 0.702
0.500 0.500 0.000
0.000 0.222 0.278
0.000 0.778 0.722

=====

[3]
TmTi4Co5 GGA-PBE optimized geometry; density = 7.77 g cm⁻³; raw total energy = -7.517 eV per atom; N(E_F) = 9.06 states/eV/f.u.
1.0
-0.195 -2.508 -1.644
2.864 0.334 -0.849
4.594 -8.359 12.209
Tm Ti Co
1 4 5
Direct
0.000 0.000 0.000
0.000 0.000 0.213
0.000 0.000 0.405
0.000 0.000 0.595
0.000 0.000 0.787
0.500 0.500 0.132
0.500 0.500 0.315
0.500 0.500 0.500
0.500 0.500 0.685
0.500 0.500 0.868

=====

[4]
TmTi2Co3 GGA-PBE optimized geometry; density = 8.38 g cm⁻³; raw total energy = -7.265 eV per atom; N(E_F) = 5.59 states/eV/f.u.
1.0
3.020 0.000 0.000
0.000 3.020 0.000
0.000 0.000 9.597
Tm Ti Co
1 2 3
Direct
0.500 0.500 0.500
0.500 0.500 0.843
0.500 0.500 0.157
0.000 0.000 0.000
0.000 0.000 0.708
0.000 0.000 0.292

=====

[5]
TmTiCo4 GGA-PBE optimized geometry; density = 9.21 g cm⁻³; raw total energy = -7.037 eV per atom; N(E_F) = 7.19 states/eV/f.u.
1.0
-4.383 -1.885 -0.971
-0.355 -4.258 -2.333
-1.528 -3.961 2.383
Tm Co Ti
1 4 1
Direct
0.250 0.250 0.250
0.625 0.625 0.124
0.625 0.124 0.625
0.625 0.625 0.625
0.124 0.625 0.625
0.000 0.000 0.000

=====

[6]
TmTiCo2 GGA-PBE optimized geometry; density = 9.04 g cm⁻³; raw total energy = -6.936 eV per atom; energy above the lowest structure with this stoichiometry = 0.000 eV per atom; N(E_F) = 3.22 states/eV/f.u.
1.0
3.077 0.000 0.000
0.000 3.077 0.000
0.000 0.000 6.490
Tm Co Ti
1 2 1
Direct
0.500 0.500 0.500
0.000 0.000 0.790
0.000 0.000 0.210
0.500 0.500 0.000

=====

[7]
TmTiCo2 GGA-PBE optimized geometry; density = 8.99 g cm⁻³; raw total energy = -6.848 eV per atom; energy above the lowest structure with this stoichiometry = 0.088 eV per atom; N(E_F) = 2.14 states/eV/f.u.
1.0
3.103 0.000 0.000
0.000 4.463 0.000
0.000 0.000 4.463
Tm Co Ti
1 2 1
Direct
0.500 0.500 0.500
0.000 0.000 0.500
0.000 0.500 0.000
0.500 0.000 0.000

=====

[8]
TmTi3Co2 GGA-PBE optimized geometry; density = 7.07 g cm⁻³; raw total energy = -7.281 eV per atom; N(E_F) = 5.46 states/eV/f.u.
1.0
4.325 0.000 0.000
-2.163 7.263 -0.093
0.000 -3.386 6.477
Tm Ti Co
2 6 4
Direct
0.853 0.706 0.938
0.147 0.294 0.062
0.307 0.613 0.582
0.944 0.889 0.612
0.596 0.193 0.686
0.404 0.807 0.314
0.056 0.111 0.388
0.693 0.387 0.418
0.481 0.961 0.830
0.519 0.039 0.170
0.808 0.615 0.269
0.192 0.385 0.731

=====

[9]
TmTiCo2 GGA-PBE optimized geometry; density = 8.96 g cm⁻³; raw total energy = -6.853 eV per atom; energy above the lowest structure with this stoichiometry = 0.083 eV per atom; N(E_F) = 3.12 states/eV/f.u.
1.0
4.443 0.000 0.000
2.222 3.848 0.000
2.222 1.283 3.628
Tm Co Ti
1 2 1
Direct
0.000 0.000 0.000
0.250 0.250 0.250
0.750 0.750 0.750
0.500 0.500 0.500

=====

[10]
Tm2TiCo2 GGA-PBE optimized geometry; density = 9.00 g cm⁻³; raw total energy = -6.510 eV per atom; energy above the lowest structure with this stoichiometry = 0.000 eV per atom; N(E_F) = 4.67 states/eV/f.u.
1.0
5.583 0.000 0.000
-2.792 4.749 0.254
0.000 -1.791 6.911
Tm Ti Co
4 2 4
Direct
0.526 0.297 0.146
0.228 0.703 0.354
0.474 0.703 0.854
0.772 0.297 0.646
0.906 0.000 0.250
0.094 0.000 0.750
0.714 0.719 0.499
0.994 0.281 0.001
0.286 0.281 0.501
0.006 0.719 0.999

=====

[11]
Tm2Ti2Co15 GGA-PBE optimized geometry; density = 8.92 g cm⁻³; raw total energy = -7.095 eV per atom; N(E_F) = 21.04 states/eV/f.u.
1.0
-4.251 3.278 -3.317
-4.440 0.356 4.470
1.485 5.730 2.186
Tm Ti Co
2 2 15
Direct
0.354 0.354 0.354
0.646 0.646 0.646
0.107 0.107 0.107
0.893 0.893 0.893
0.000 0.500 0.000
0.000 0.000 0.500
0.500 0.000 0.000
0.707 0.000 0.293
0.293 0.707 0.000
0.000 0.293 0.707
0.707 0.293 0.000
0.000 0.707 0.293
0.293 0.000 0.707
0.651 0.153 0.651
0.651 0.651 0.153
0.153 0.651 0.651
0.349 0.847 0.349
0.349 0.349 0.847
0.847 0.349 0.349

=====

[12]
UTiCo5 GGA-PBE optimized geometry; density = 9.95 g cm⁻³; raw total energy = -7.767 eV per atom; N(E_F) = 10.15 states/eV/f.u.
1.0
-0.641 -4.267 -0.627
1.479 -0.813 4.021
-4.733 0.442 1.831
U Ti Co
1 1 5
Direct
0.000 0.000 0.500
0.500 0.500 0.000
0.000 0.500 0.751
0.000 0.500 0.249
0.500 0.000 0.751
0.500 0.000 0.249
0.500 0.500 0.500